Below is an optimized crystal structure of Ni3IrF, with properties calculated at the GGA-PBEsol level.

Cell: 3.853 3.853 3.853 Å, 90.00 90.00 90.00°
Atoms (fractional coordinates):
Ni1 0.500 0.000 0.000
Ni2 0.000 0.500 0.000
Ni3 0.000 0.000 0.500
F1 0.000 0.000 0.000
Ir1 0.500 0.500 0.500

Properties
- Formation energy (no corrections): 488 meV per atom
- Symmetry: Pm-3m (221)
- M_tot: 1.771 μB per formula unit